A plane-wave DFT calculation with PBE was carried out for AgPtSe after structural relaxation.

```
data_AgPtSe
_cell_length_a 3.566
_cell_length_b 3.566
_cell_length_c 9.332
_cell_angle_alpha 90.00
_cell_angle_beta 90.00
_cell_angle_gamma 90.00
_symmetry_space_group_name_H-M 'I 4 m m'
_symmetry_Int_Tables_number 107
_symmetry_space_group_name_Hall 'I 4 -2'
loop_
_atom_site_label
_atom_site_type_symbol
_atom_site_fract_x
_atom_site_fract_y
_atom_site_fract_z
Ag1 Ag 0.000 0.000 0.000
Pt1 Pt 0.000 0.000 0.707
Se1 Se 0.000 0.000 0.274
```

Properties
excess energy over the best structure of this formula in the dataset: 68 meV/atom
D(E_F): 3.2 states/eV/cell
formation energy (no corrections): 97.6 meV per atom
total magnetic moment: 0.00 μB/atom

---

A plane-wave DFT calculation with PBE was carried out for Mn2OsBr after structural relaxation.

```
data_Mn2OsBr
_cell_length_a 2.984
_cell_length_b 4.795
_cell_length_c 9.568
_cell_angle_alpha 90.00
_cell_angle_beta 90.00
_cell_angle_gamma 90.00
_symmetry_space_group_name_H-M 'C m m 2'
_symmetry_Int_Tables_number 35
loop_
_symmetry_equiv_pos_as_xyz
'x,y,z'
'-x,-y,z'
'-x,y,z'
'x,-y,z'
'x+1/2,y+1/2,z'
'-x+1/2,-y+1/2,z'
'-x+1/2,y+1/2,z'
'x+1/2,-y+1/2,z'
loop_
_atom_site_label
_atom_site_type_symbol
_atom_site_fract_x
_atom_site_fract_y
_atom_site_fract_z
Mn1 Mn 0.000 0.000 0.000
Mn2 Mn 0.000 0.500 0.220
Os1 Os 0.000 0.500 0.799
Br1 Br 0.000 0.000 0.435
```

Properties
excess energy over the best structure of this formula in the dataset: 438 meV/atom
D(E_F): 9.1 states/eV/cell
formation energy (no corrections): 742.3 meV per atom
total magnetic moment: 1.54 μB/atom

---

A plane-wave DFT calculation with PBE was carried out for Cr2W4Cl after structural relaxation.

```
data_Cr2W4Cl
_cell_length_a 4.345
_cell_length_b 4.345
_cell_length_c 12.465
_cell_angle_alpha 90.00
_cell_angle_beta 90.00
_cell_angle_gamma 90.00
_symmetry_space_group_name_H-M 'I 4/m m m'
_symmetry_Int_Tables_number 139
_symmetry_space_group_name_Hall '-I 4 2'
loop_
_atom_site_label
_atom_site_type_symbol
_atom_site_fract_x
_atom_site_fract_y
_atom_site_fract_z
Cr1 Cr 0.000 0.000 0.126
W1 W 0.000 0.000 0.312
W2 W 0.000 0.500 0.000
Cl1 Cl 0.000 0.000 0.500
```

Properties
D(E_F): 13.7 states/eV/cell
formation energy (no corrections): 1568.1 meV per atom
total magnetic moment: 0.22 μB/atom

---

A plane-wave DFT calculation with PBE was carried out for CsP2NO after structural relaxation.

```
data_CsP2NO
_cell_length_a 7.710
_cell_length_b 7.710
_cell_length_c 4.673
_cell_angle_alpha 90.00
_cell_angle_beta 90.00
_cell_angle_gamma 90.00
_symmetry_space_group_name_H-M 'P 4/m m m'
_symmetry_Int_Tables_number 123
_symmetry_space_group_name_Hall '-P 4 2'
loop_
_atom_site_label
_atom_site_type_symbol
_atom_site_fract_x
_atom_site_fract_y
_atom_site_fract_z
Cs1 Cs 0.000 0.000 0.000
P1 P 0.000 0.500 0.000
N1 N 0.500 0.500 0.500
O1 O 0.000 0.000 0.500
```

Properties
D(E_F): 1.8 states/eV/cell
formation energy (no corrections): 2308.5 meV per atom
total magnetic moment: 1.83 μB/atom

---

A plane-wave DFT calculation with PBE was carried out for SmYCdPb after structural relaxation.

```
data_SmYCdPb
_cell_length_a 7.627
_cell_length_b 7.627
_cell_length_c 7.627
_cell_angle_alpha 90.00
_cell_angle_beta 90.00
_cell_angle_gamma 90.00
_symmetry_space_group_name_H-M 'F -4 3 m'
_symmetry_Int_Tables_number 216
_symmetry_space_group_name_Hall 'F -4 2 3'
loop_
_atom_site_label
_atom_site_type_symbol
_atom_site_fract_x
_atom_site_fract_y
_atom_site_fract_z
Sm1 Sm 0.000 0.000 0.000
Y1 Y 0.000 0.000 0.500
Cd1 Cd 0.250 0.250 0.750
Pb1 Pb 0.250 0.250 0.250
```

Properties
D(E_F): 14.1 states/eV/cell
total magnetic moment: 0.00 μB/atom
formation energy from the elements: -0.42 eV/atom

---

A plane-wave DFT calculation with PBE was carried out for NaNdGaAg after structural relaxation.

```
data_NaNdGaAg
_cell_length_a 7.257
_cell_length_b 7.257
_cell_length_c 7.257
_cell_angle_alpha 90.00
_cell_angle_beta 90.00
_cell_angle_gamma 90.00
_symmetry_space_group_name_H-M 'F -4 3 m'
_symmetry_Int_Tables_number 216
_symmetry_space_group_name_Hall 'F -4 2 3'
loop_
_atom_site_label
_atom_site_type_symbol
_atom_site_fract_x
_atom_site_fract_y
_atom_site_fract_z
Na1 Na 0.000 0.000 0.000
Nd1 Nd 0.000 0.000 0.500
Ga1 Ga 0.250 0.250 0.250
Ag1 Ag 0.250 0.250 0.750
```

Properties
D(E_F): 12.1 states/eV/cell
total magnetic moment: 0.00 μB/atom
formation energy from the elements: -0.21 eV/atom

---

A plane-wave DFT calculation with PBE was carried out for LaCePmCo after structural relaxation.

```
data_LaCePmCo
_cell_length_a 3.731
_cell_length_b 3.734
_cell_length_c 9.436
_cell_angle_alpha 90.00
_cell_angle_beta 89.97
_cell_angle_gamma 60.11
_symmetry_space_group_name_H-M 'P 1'
_symmetry_Int_Tables_number 1
loop_
_symmetry_equiv_pos_as_xyz
'x,y,z'
loop_
_atom_site_label
_atom_site_type_symbol
_atom_site_fract_x
_atom_site_fract_y
_atom_site_fract_z
La1 La 0.000 0.000 0.000
Ce1 Ce 0.666 0.661 0.314
Pm1 Pm 0.667 0.664 0.676
Co1 Co 0.000 0.997 0.468
```

Properties
D(E_F): 6.5 states/eV/cell
total magnetic moment: 0.00 μB/atom
formation energy from the elements: 0.06 eV/atom

---

A plane-wave DFT calculation with PBE was carried out for LaMg4Al after structural relaxation.

```
data_LaMg4Al
_cell_length_a 8.447
_cell_length_b 8.447
_cell_length_c 8.447
_cell_angle_alpha 90.00
_cell_angle_beta 90.00
_cell_angle_gamma 90.00
_symmetry_space_group_name_H-M 'F -4 3 m'
_symmetry_Int_Tables_number 216
_symmetry_space_group_name_Hall 'F -4 2 3'
loop_
_atom_site_label
_atom_site_type_symbol
_atom_site_fract_x
_atom_site_fract_y
_atom_site_fract_z
La1 La 0.000 0.000 0.000
Mg1 Mg 0.125 0.125 0.625
Al1 Al 0.250 0.250 0.250
```

Properties
D(E_F): 10.8 states/eV/cell
total magnetic moment: 0.00 μB/atom
formation energy from the elements: 0.05 eV/atom

---

A plane-wave DFT calculation with PBE was carried out for NdAlZn after structural relaxation.

```
data_NdAlZn
_cell_length_a 10.643
_cell_length_b 4.587
_cell_length_c 7.509
_cell_angle_alpha 90.00
_cell_angle_beta 133.28
_cell_angle_gamma 90.00
_symmetry_space_group_name_H-M 'C 1 2/m 1'
_symmetry_Int_Tables_number 12
loop_
_symmetry_equiv_pos_as_xyz
'x,y,z'
'-x,-y,-z'
'-x,y,-z'
'x,-y,z'
'x+1/2,y+1/2,z'
'-x+1/2,-y+1/2,-z'
'-x+1/2,y+1/2,-z'
'x+1/2,-y+1/2,z'
loop_
_atom_site_label
_atom_site_type_symbol
_atom_site_fract_x
_atom_site_fract_y
_atom_site_fract_z
Nd1 Nd 0.038 0.000 0.292
Al1 Al 0.163 0.500 0.111
Zn1 Zn 0.165 0.500 0.719
```

Properties
D(E_F): 6.2 states/eV/cell
total magnetic moment: 0.00 μB/atom
formation energy from the elements: -0.43 eV/atom

---

A plane-wave DFT calculation with PBE was carried out for ScRh2Pb after structural relaxation.

```
data_ScRh2Pb
_cell_length_a 3.1998
_cell_length_b 3.1998
_cell_length_c 25.4979
_cell_angle_alpha 90.00
_cell_angle_beta 90.00
_cell_angle_gamma 120.00
_symmetry_space_group_name_H-M 'R -3 m'
_symmetry_Int_Tables_number 166
_symmetry_space_group_name_Hall '-R 3 2"'
loop_
_atom_site_label
_atom_site_type_symbol
_atom_site_fract_x
_atom_site_fract_y
_atom_site_fract_z
Sc1 Sc 0.0000 0.0000 0.0000
Rh1 Rh 0.0000 0.0000 0.2562
Pb1 Pb 0.0000 0.0000 0.5000
```

Properties
D(E_F): 8.5 states/eV/cell
total magnetic moment: 0.00 μB/atom
formation energy from the elements: -0.26 eV/atom

---

A plane-wave DFT calculation with PBE was carried out for PrSm2Ho5Sc after structural relaxation.

```
data_PrSm2Ho5Sc
_cell_length_a 5.589
_cell_length_b 19.712
_cell_length_c 10.426
_cell_angle_alpha 90.00
_cell_angle_beta 90.00
_cell_angle_gamma 90.00
_symmetry_space_group_name_H-M 'C m c 21'
_symmetry_Int_Tables_number 36
loop_
_symmetry_equiv_pos_as_xyz
'x,y,z'
'-x,-y,z+1/2'
'-x,y,z'
'x,-y,z+1/2'
'x+1/2,y+1/2,z'
'-x+1/2,-y+1/2,z+1/2'
'-x+1/2,y+1/2,z'
'x+1/2,-y+1/2,z+1/2'
loop_
_atom_site_label
_atom_site_type_symbol
_atom_site_fract_x
_atom_site_fract_y
_atom_site_fract_z
Pr1 Pr 0.000 0.086 0.000
Sm1 Sm 0.000 0.386 0.277
Sm2 Sm 0.000 0.388 0.859
Ho1 Ho 0.000 0.019 0.283
Ho2 Ho 0.000 0.125 0.563
Ho3 Ho 0.000 0.203 0.249
Ho4 Ho 0.000 0.223 0.867
Ho5 Ho 0.000 0.482 0.564
Sc1 Sc 0.000 0.303 0.558
```

Properties
D(E_F): 51.9 states/eV/cell
total magnetic moment: 0.00 μB/atom
formation energy from the elements: 0.17 eV/atom

---

A plane-wave DFT calculation with PBE was carried out for LiCu2Au6 after structural relaxation.

```
data_LiCu2Au6
_cell_length_a 14.420
_cell_length_b 7.506
_cell_length_c 2.869
_cell_angle_alpha 90.00
_cell_angle_beta 101.32
_cell_angle_gamma 90.00
_symmetry_space_group_name_H-M 'C 1 2/m 1'
_symmetry_Int_Tables_number 12
loop_
_symmetry_equiv_pos_as_xyz
'x,y,z'
'-x,-y,-z'
'-x,y,-z'
'x,-y,z'
'x+1/2,y+1/2,z'
'-x+1/2,-y+1/2,-z'
'-x+1/2,y+1/2,-z'
'x+1/2,-y+1/2,z'
loop_
_atom_site_label
_atom_site_type_symbol
_atom_site_fract_x
_atom_site_fract_y
_atom_site_fract_z
Li1 Li 0.000 0.000 0.000
Cu1 Cu 0.167 0.500 0.668
Au1 Au 0.000 0.310 0.500
Au2 Au 0.166 0.191 0.166
```

Properties
excess energy over the best structure of this formula in the dataset: 45 meV/atom
D(E_F): 5.6 states/eV/cell
total magnetic moment: 0.00 μB/atom
formation energy from the elements: -0.10 eV/atom

---

Q: Number 3 is which compound?
A: Cr2W4Cl